## BaY2H (GGA-PBE)

Data for an optimized crystal structure of BaY2H.

```
BaY2H
1.0
0.0000 3.9199 3.9199
3.9199 0.0000 3.9199
3.9199 3.9199 0.0000
Ba Y H
1 2 1
Cartesian
0.0000 0.0000 0.0000
1.9600 1.9600 1.9600
5.8799 5.8799 5.8799
3.9199 3.9199 3.9199
```

Calculated values
Space-group type: Fm-3m
M_tot, μB per formula unit: 0.00
Energy above the lowest structure with this stoichiometry, kcal/mol of atoms: 22.59
Uncorrected energy, eV per cell: -14.4